# Hf2TaPdPt

Hf2TaPdPt after structural relaxation (PBE-GGA, Alexandria).

Lattice parameters (Å, degrees): 5.059 4.652 5.059 90.00 90.00 90.00
Positions (direct):
Hf 0.000 0.000 0.500
Hf 0.500 0.000 0.000
Pd 0.000 0.500 0.000
Pt 0.500 0.500 0.500
Ta 0.000 0.000 0.000

Properties
Size of the total moment, Bohr magnetons per cell: 0.000
Volume, Å³/cell: 119.0
Calculated formation energy, eV/atom: 1.06
DOS at the Fermi energy, states/eV per cell: 5.27